Crystalline KBaSnPb at its relaxed geometry, computed with PBE.

Calculated values
Magnetic moment = 0.00 μB per formula unit
Energy above the most stable polymorph in this dataset = 0.074 eV per atom
E_form = -21 kJ per mole of atoms
Total DFT energy (no corrections) = -2.9044 eV/atom
Calculated volume = 37.125 Å³ per atom

abc: 8.406 8.406 8.406
angles: 90.00 90.00 90.00
Space group F-43m (No. 216)
Asymmetric unit:
1 K 0.000 0.000 0.000 x4
2 Ba 0.250 0.250 0.750 x4
3 Sn 0.000 0.000 0.500 x4
4 Pb 0.250 0.250 0.250 x4


Crystalline CeAl4Cu2Pt at its relaxed geometry, computed with PBE.

Calculated values
Magnetic moment = 0.55 μB per formula unit
E_form = -46 kJ per mole of atoms
Total DFT energy (no corrections) = -4.8680 eV/atom
Calculated volume = 17.272 Å³ per atom

abc: 4.2193 4.2193 26.8870
angles: 90.00 90.00 120.00
Space group R-3m (No. 166, hexagonal axes)
Asymmetric unit:
1 Ce 0.0000 0.0000 0.0000 x3
2 Al 0.0000 0.0000 0.1295 x6
3 Al 0.0000 0.0000 0.4046 x6
4 Cu 0.0000 0.0000 0.2445 x6
5 Pt 0.0000 0.0000 0.5000 x3


Crystalline AsPtW2 at its relaxed geometry, computed with PBE.

Calculated values
Magnetic moment = 0.00 μB per formula unit
E_form = 36 kJ per mole of atoms
Total DFT energy (no corrections) = -8.7715 eV/atom
Calculated volume = 16.122 Å³ per atom

abc: 3.799 3.799 4.467
angles: 90.00 90.00 90.00
Space group P4/mmm (No. 123)
Asymmetric unit:
1 As 0.000 0.000 0.000 x1
2 Pt 0.500 0.500 0.000 x1
3 W 0.000 0.500 0.500 x2


Crystalline BeAlHg at its relaxed geometry, computed with PBE.

Calculated values
Magnetic moment = 0.00 μB per formula unit
Energy above the most stable polymorph in this dataset = 0.202 eV per atom
E_form = 36 kJ per mole of atoms
Total DFT energy (no corrections) = -2.2177 eV/atom
Calculated volume = 16.598 Å³ per atom

abc: 3.0933 3.0933 6.0092
angles: 90.00 90.00 120.00
Space group P3m1 (No. 156)
Asymmetric unit:
1 Be 0.0000 0.0000 0.0000 x1
2 Al 0.3333 0.6667 0.6990 x1
3 Hg 0.6667 0.3333 0.3126 x1


Crystalline VGaPd2 at its relaxed geometry, computed with PBE.

Calculated values
Magnetic moment = 2.68 μB per formula unit
E_form = -28 kJ per mole of atoms
Total DFT energy (no corrections) = -5.9268 eV/atom
Calculated volume = 15.062 Å³ per atom

abc: 3.993 3.993 3.778
angles: 90.00 90.00 90.00
Space group P4/mmm (No. 123)
Asymmetric unit:
1 V 0.000 0.000 0.000 x1
2 Ga 0.500 0.500 0.000 x1
3 Pd 0.000 0.500 0.500 x2


Crystalline Li2CeCdSe4 at its relaxed geometry, computed with PBE.

Calculated values
Magnetic moment = 0.13 μB per formula unit
Uncorrected formation energy = -1.20 eV/atom
Total DFT energy (no corrections) = -4.2724 eV/atom
Calculated volume = 23.055 Å³ per atom

abc: 6.875 4.118 6.929
angles: 90.00 109.91 90.00
Space group P2/m (No. 10)
Asymmetric unit:
1 Li 0.000 0.000 0.000 x1
2 Li 0.500 0.500 0.000 x1
3 Ce 0.000 0.500 0.500 x1
4 Cd 0.500 0.000 0.500 x1
5 Se 0.244 0.000 0.763 x2
6 Se 0.254 0.500 0.250 x2


Crystalline NdIn3Ni2 at its relaxed geometry, computed with PBE.

Calculated values
Magnetic moment = 0.00 μB per formula unit
E_form = -27 kJ per mole of atoms
Total DFT energy (no corrections) = -4.3734 eV/atom
Calculated volume = 20.322 Å³ per atom

abc: 9.677 8.780 5.741
angles: 90.00 90.00 90.00
Space group Cmcm (No. 63)
Asymmetric unit:
1 Nd 0.000 0.112 0.250 x4
2 In 0.000 0.478 0.250 x4
3 In 0.172 0.230 0.750 x8
4 Ni 0.231 0.500 0.000 x8


Crystalline Tl2HgBi3 at its relaxed geometry, computed with PBE.

Calculated values
Magnetic moment = 0.00 μB per formula unit
E_form = 0 kJ per mole of atoms
Total DFT energy (no corrections) = -2.7785 eV/atom
Calculated volume = 31.619 Å³ per atom

abc: 8.917 9.967 8.725
angles: 90.00 101.88 90.00
Space group C2/c (No. 15)
Asymmetric unit:
1 Tl 0.125 0.248 0.121 x8
2 Hg 0.000 0.081 0.750 x4
3 Bi 0.000 0.422 0.750 x4
4 Bi 0.246 0.411 0.507 x8


Crystalline Cd2Ag3Au at its relaxed geometry, computed with PBE.

Calculated values
Magnetic moment = 0.00 μB per formula unit
Energy above the most stable polymorph in this dataset = 0.000 eV per atom
E_form = -7 kJ per mole of atoms
Total DFT energy (no corrections) = -2.3461 eV/atom
Calculated volume = 18.932 Å³ per atom

abc: 12.746 4.258 9.402
angles: 90.00 117.05 90.00
Space group C2/m (No. 12)
Asymmetric unit:
1 Cd 0.033 0.000 0.365 x4
2 Cd 0.208 0.500 0.365 x4
3 Ag 0.044 0.500 0.879 x4
4 Ag 0.124 0.000 0.121 x4
5 Ag 0.210 0.000 0.880 x4
6 Au 0.128 0.500 0.623 x4


Crystalline In2RhCl at its relaxed geometry, computed with PBE.

Calculated values
Magnetic moment = 0.00 μB per formula unit
Uncorrected formation energy = -0.29 eV/atom
Energy above the most stable polymorph in this dataset = 0.183 eV per atom
Total DFT energy (no corrections) = -3.9546 eV/atom
Calculated volume = 25.981 Å³ per atom

abc: 3.715 3.741 7.478
angles: 90.00 90.00 90.00
Space group Pmm2 (No. 25)
Asymmetric unit:
1 In 0.000 0.000 0.000 x1
2 In 0.500 0.500 0.386 x1
3 Rh 0.000 0.000 0.346 x1
4 Cl 0.500 0.500 0.812 x1


Crystalline NpAgI2O8 at its relaxed geometry, computed with PBE.

Calculated values
Magnetic moment = 0.00 μB per formula unit
Uncorrected formation energy = -0.99 eV/atom
Total DFT energy (no corrections) = -5.8738 eV/atom
Calculated volume = 16.889 Å³ per atom

abc: 5.118 5.287 7.550
angles: 83.26 87.51 89.95
Space group P-1 (No. 2)
Asymmetric unit:
1 Np 0.000 0.000 0.000 x1
2 Ag 0.000 0.000 0.500 x1
3 I 0.471 0.507 0.269 x2
4 O 0.161 0.847 0.810 x2
5 O 0.214 0.758 0.243 x2
6 O 0.276 0.254 0.978 x2
7 O 0.319 0.309 0.469 x2


Crystalline AcPrPd2 at its relaxed geometry, computed with PBE.

Calculated values
Magnetic moment = 0.00 μB per formula unit
Energy above the most stable polymorph in this dataset = 0.119 eV per atom
E_form = -65 kJ per mole of atoms
Total DFT energy (no corrections) = -5.4909 eV/atom
Calculated volume = 28.942 Å³ per atom

abc: 4.2714 4.2714 21.9806
angles: 90.00 90.00 120.00
Space group R3m (No. 160, hexagonal axes)
Asymmetric unit:
1 Ac 0.0000 0.0000 0.0000 x3
2 Pr 0.0000 0.0000 0.8273 x3
3 Pd 0.0000 0.0000 0.4178 x3
4 Pd 0.0000 0.0000 0.5751 x3


Crystalline Er5Os2Pt at its relaxed geometry, computed with PBE.

Calculated values
Magnetic moment = 0.00 μB per formula unit
E_form = -53 kJ per mole of atoms
Total DFT energy (no corrections) = -6.9592 eV/atom
Calculated volume = 23.530 Å³ per atom

abc: 7.363 7.363 13.887
angles: 90.00 90.00 90.00
Space group I4/mcm (No. 140)
Asymmetric unit:
1 Er 0.000 0.000 0.000 x4
2 Er 0.176 0.324 0.140 x16
3 Os 0.122 0.378 0.500 x8
4 Pt 0.000 0.000 0.250 x4


Crystalline ReMo2Se at its relaxed geometry, computed with PBE.

Calculated values
Magnetic moment = 0.00 μB per formula unit
Uncorrected formation energy = 0.98 eV/atom
Total DFT energy (no corrections) = -8.4213 eV/atom
Calculated volume = 22.543 Å³ per atom

abc: 5.951 5.951 10.186
angles: 90.00 90.00 90.00
Space group I-42d (No. 122)
Asymmetric unit:
1 Re 0.000 0.000 0.000 x4
2 Mo 0.247 0.250 0.125 x8
3 Se 0.000 0.000 0.500 x4


Crystalline MgBrO2 at its relaxed geometry, computed with PBE.

Calculated values
Magnetic moment = 0.87 μB per formula unit
Uncorrected formation energy = -0.56 eV/atom
Energy above the most stable polymorph in this dataset = 0.658 eV per atom
Total DFT energy (no corrections) = -3.8516 eV/atom
Calculated volume = 15.206 Å³ per atom

abc: 5.506 5.506 8.025
angles: 90.00 90.00 90.00
Space group I-42d (No. 122)
Asymmetric unit:
1 Mg 0.000 0.000 0.000 x4
2 Br 0.000 0.000 0.500 x4
3 O 0.189 0.250 0.125 x8


Crystalline Cu2SiPt at its relaxed geometry, computed with PBE.

Calculated values
Magnetic moment = 0.00 μB per formula unit
Uncorrected formation energy = -0.10 eV/atom
Total DFT energy (no corrections) = -5.0124 eV/atom
Calculated volume = 13.388 Å³ per atom

abc: 2.7562 2.7562 24.4203
angles: 90.00 90.00 120.00
Space group R-3m (No. 166, hexagonal axes)
Asymmetric unit:
1 Cu 0.0000 0.0000 0.2441 x6
2 Si 0.0000 0.0000 0.5000 x3
3 Pt 0.0000 0.0000 0.0000 x3


Crystalline TiMo2P2 at its relaxed geometry, computed with PBE.

Calculated values
Magnetic moment = 0.00 μB per formula unit
E_form = -50 kJ per mole of atoms
Total DFT energy (no corrections) = -8.5910 eV/atom
Calculated volume = 14.334 Å³ per atom

abc: 6.719 6.719 3.175
angles: 90.00 90.00 90.00
Space group P4/mbm (No. 127)
Asymmetric unit:
1 Ti 0.000 0.000 0.000 x2
2 Mo 0.148 0.352 0.500 x4
3 P 0.148 0.648 0.000 x4


Crystalline CdTcP2 at its relaxed geometry, computed with PBE.

Calculated values
Magnetic moment = 0.53 μB per formula unit
E_form = 20 kJ per mole of atoms
Total DFT energy (no corrections) = -5.3161 eV/atom
Calculated volume = 19.095 Å³ per atom

abc: 2.908 4.934 10.648
angles: 90.00 90.00 90.00
Space group Immm (No. 71)
Asymmetric unit:
1 Cd 0.000 0.000 0.000 x2
2 Tc 0.000 0.000 0.500 x2
3 P 0.000 0.500 0.177 x4


Crystalline Tb2Y13 at its relaxed geometry, computed with PBE.

Calculated values
Magnetic moment = 0.00 μB per formula unit
Energy above the most stable polymorph in this dataset = 0.101 eV per atom
E_form = 16 kJ per mole of atoms
Total DFT energy (no corrections) = -6.0576 eV/atom
Calculated volume = 33.217 Å³ per atom

abc: 7.0573 7.0573 34.6554
angles: 90.00 90.00 120.00
Space group R-3m (No. 166, hexagonal axes)
Asymmetric unit:
1 Tb 0.0000 0.0000 0.2063 x6
2 Y 0.0000 0.0000 0.0000 x3
3 Y 0.0002 0.5001 0.2085 x18
4 Y 0.0031 0.5016 0.9549 x18


Crystalline Ce2SmTlN at its relaxed geometry, computed with PBE.

Calculated values
Magnetic moment = 1.60 μB per formula unit
Uncorrected formation energy = -0.78 eV/atom
Total DFT energy (no corrections) = -6.2363 eV/atom
Calculated volume = 24.154 Å³ per atom

abc: 4.893 4.893 5.045
angles: 90.00 90.00 90.00
Space group P4/mmm (No. 123)
Asymmetric unit:
1 Ce 0.000 0.500 0.000 x2
2 Sm 0.000 0.000 0.500 x1
3 Tl 0.500 0.500 0.500 x1
4 N 0.000 0.000 0.000 x1